Material: LiTi3MnCrP6O24
Method: DFT, GGA+U
State: optimized geometry

Output
Space group   No. 155
Final energy   -7.771 eV/atom

```
72
Lattice="4.3079 2.4872 14.1186 -4.3079 2.4872 14.1186 0.0000 -4.9744 14.1186" Properties=species:S:1:pos:R:3 pbc="T T T"
Li 0.0000 0.0000 5.3249
Li 0.0000 0.0000 37.0310
Ti 0.0000 0.0000 2.3057
Ti 0.0000 0.0000 8.3516
Ti 0.0000 0.0000 18.9567
Ti 0.0000 0.0000 23.3992
Ti 0.0000 0.0000 34.0044
Ti 0.0000 0.0000 40.0502
Mn 0.0000 0.0000 15.8954
Mn 0.0000 0.0000 26.4606
Cr 0.0000 0.0000 12.8998
Cr 0.0000 0.0000 29.4561
P -1.2498 -2.8097 14.1186
P -3.0504 -0.3291 17.6033
P -1.2665 -2.1937 21.1780
P -3.0504 0.3291 24.7527
P -1.8084 2.4872 14.1186
P 1.8102 -2.4771 17.6033
P -1.2665 2.1937 21.1780
P 1.2402 -2.8062 24.7527
P 3.0582 0.3225 14.1187
P 1.2402 2.8062 17.6033
P 2.5331 0.0000 21.1780
P 1.8102 2.4771 24.7526
O -2.7974 -2.3179 21.2216
O -0.8439 -3.5981 15.3807
O -1.6101 -0.0073 9.3606
O -3.6907 1.0784 17.6999
O -1.6788 -0.0968 11.9057
O -3.6908 -1.0784 24.6561
O -2.6942 -2.5299 26.9752
O -0.5958 -1.4099 14.2635
O -0.6086 -3.5816 21.1344
O -2.6942 2.5299 15.3808
O 0.8113 -1.3907 9.3606
O -1.4965 -0.1415 17.5970
O 0.9114 -3.7355 17.6999
O -0.7860 -1.4185 19.9255
O 0.9232 -1.4055 11.9057
O -0.9231 1.2209 14.2635
O -2.7974 2.3179 21.1344
O -0.8355 -1.3899 22.4304
O 0.7987 1.3980 9.3606
O -1.4965 0.1415 24.7589
O 0.8708 -1.2253 17.5970
O -0.8355 1.3899 19.9255
O 0.7556 1.5023 11.9057
O -0.9231 -1.2209 28.0924
O 1.5189 0.1890 14.2635
O -1.6788 0.0968 30.4502
O -0.7860 1.4185 22.4305
O 0.6257 -1.3668 24.7589
O 0.6257 1.3668 17.5970
O -1.6101 0.0073 32.9953
O 1.6215 0.0286 19.9255
O -0.6086 3.5816 21.2216
O -0.5958 1.4099 28.0924
O 0.7556 -1.5023 30.4502
O 1.6215 -0.0286 22.4305
O 2.7793 -2.6571 24.6561
O 0.8708 1.2253 24.7590
O 0.7987 -1.3980 32.9953
O -0.8439 3.5981 26.9752
O 3.4060 -1.2637 21.2216
O 1.5189 -0.1890 28.0924
O 3.5380 1.0683 15.3807
O 2.7793 2.6571 17.6999
O 0.9232 1.4055 30.4503
O 0.9114 3.7355 24.6561
O 0.8113 1.3907 32.9953
O 3.5380 -1.0683 26.9752
O 3.4060 1.2637 21.1344
```